Material: Ho2Co3SiNi12
Method: DFT, PBE-GGA
State: optimized geometry

Cell lengths 9.0141, 9.0141, 9.0141 Å; angles 38.32, 38.32, 38.32 degrees
Last column: nearest neighbours and their distance in Å.
Fractional positions:
Ho  0.1496  0.1496  0.1496  6 Ni 2.86-2.88
Ho  0.8504  0.8504  0.8504  6 Ni 2.86-2.88
Co  0.0000  0.5000  0.5000  6 Ni 2.27-2.49
Co  0.5000  0.0000  0.5000  6 Ni 2.27-2.49
Co  0.5000  0.5000  0.0000  6 Ni 2.27-2.49
Si  0.5000  0.5000  0.5000  6 Ni 2.24
Ni  0.0824  0.0824  0.6886  2 Co 2.27, 4 Ni 2.33-2.37
Ni  0.0824  0.6886  0.0824  2 Co 2.27, 4 Ni 2.33-2.37
Ni  0.1449  0.5761  0.5761  1 Si 2.24, 2 Ni 2.37, 1 Co 2.49
Ni  0.3114  0.9176  0.9176  2 Co 2.27, 4 Ni 2.33-2.37
Ni  0.4239  0.4239  0.8551  1 Si 2.24, 2 Ni 2.37, 1 Co 2.49
Ni  0.4239  0.8551  0.4239  1 Si 2.24, 2 Ni 2.37, 1 Co 2.49
Ni  0.5761  0.1449  0.5761  1 Si 2.24, 2 Ni 2.37, 1 Co 2.49
Ni  0.5761  0.5761  0.1449  1 Si 2.24, 2 Ni 2.37, 1 Co 2.49
Ni  0.6886  0.0824  0.0824  2 Co 2.27, 4 Ni 2.33-2.37
Ni  0.8551  0.4239  0.4239  1 Si 2.24, 2 Ni 2.37, 1 Co 2.49
Ni  0.9176  0.3114  0.9176  2 Co 2.27, 4 Ni 2.33-2.37
Ni  0.9176  0.9176  0.3114  2 Co 2.27, 4 Ni 2.33-2.37

**Total magnetic moment**: 9.51 μB/f.u.
**Crystal system**: trigonal
**Formation energy from raw total energies**: 149 meV per atom
**Space group**: R-3m

***

Material: CsRb5Na
Method: DFT, PBE-GGA
State: optimized geometry

Cell lengths 14.6252, 14.6252, 10.4465 Å; angles 90.69, 90.69, 145.97 degrees
Last column: nearest neighbours and their distance in Å.
Fractional positions:
Cs  0.1543  0.8457  0.7500  10 Rb 4.81-5.24
Cs  0.8457  0.1543  0.2500  10 Rb 4.81-5.24
Rb  0.1403  0.8597  0.2500  2 Na 4.51
Rb  0.2391  0.2759  0.0713  2 Na 4.07-4.49
Rb  0.2759  0.2391  0.5713  2 Na 4.07-4.49
Rb  0.3037  0.6952  0.0127  1 Na 4.04
Rb  0.3048  0.6963  0.4873  1 Na 4.04
Rb  0.6952  0.3037  0.5127  1 Na 4.04
Rb  0.6963  0.3048  0.9873  1 Na 4.04
Rb  0.7241  0.7609  0.4287  2 Na 4.07-4.49
Rb  0.7609  0.7241  0.9287  2 Na 4.07-4.49
Rb  0.8597  0.1403  0.7500  2 Na 4.51
Na  0.4104  0.5896  0.7500  8 Rb 4.04-4.51
Na  0.5896  0.4104  0.2500  8 Rb 4.04-4.51

**Total magnetic moment**: 0.00 μB/f.u.
**Crystal system**: monoclinic
**Relative energy among the computed polymorphs**: 6 meV per atom
**Space group**: C2/c

***

Material: Tl2PtBr2
Method: DFT, PBE-GGA
State: optimized geometry

Cell lengths 7.1710, 7.1710, 5.6794 Å; angles 90.00, 90.00, 90.00 degrees
Last column: nearest neighbours and their distance in Å.
Fractional positions:
Tl  0.1744  0.3256  0.0000  2 Br 3.18, 1 Tl 3.54
Tl  0.3256  0.8256  0.0000  2 Br 3.18, 1 Tl 3.54
Tl  0.6744  0.1744  0.0000  2 Br 3.18, 1 Tl 3.54
Tl  0.8256  0.6744  0.0000  2 Br 3.18, 1 Tl 3.54
Pt  0.0000  0.0000  0.5000  4 Br 2.62
Pt  0.5000  0.5000  0.5000  4 Br 2.62
Br  0.1834  0.6834  0.5000  2 Pt 2.62
Br  0.3166  0.1834  0.5000  2 Pt 2.62
Br  0.6834  0.8166  0.5000  2 Pt 2.62
Br  0.8166  0.3166  0.5000  2 Pt 2.62

**Total magnetic moment**: 0.00 μB/f.u.
**Crystal system**: tetragonal
**Formation energy from raw total energies**: -108 meV per atom
**Space group**: P4/mbm

***

Material: Rb2GaPdO4
Method: DFT, PBE-GGA
State: optimized geometry

Cell lengths 11.6768, 10.0758, 7.1687 Å; angles 83.42, 59.00, 37.58 degrees
Last column: nearest neighbours and their distance in Å.
Fractional positions:
Rb  0.0529  0.0529  0.6971  2 O 2.79
Rb  0.3029  0.3029  0.9471  2 O 2.79
Rb  0.6971  0.6971  0.0529  2 O 2.79
Rb  0.9471  0.9471  0.3029  2 O 2.79
Ga  0.3750  0.3750  0.3750  4 O 1.90
Ga  0.6250  0.6250  0.6250  4 O 1.90
Pd  0.1250  0.1250  0.1250  4 O 2.01
Pd  0.8750  0.8750  0.8750  4 O 2.01
O  0.0194  0.6798  0.5437  1 Ga 1.90, 1 Pd 2.01
O  0.2571  0.5437  0.6798  1 Ga 1.90, 1 Pd 2.01
O  0.3202  0.9806  0.7429  1 Ga 1.90, 1 Pd 2.01
O  0.4563  0.7429  0.9806  1 Ga 1.90, 1 Pd 2.01
O  0.5437  0.2571  0.0194  1 Ga 1.90, 1 Pd 2.01
O  0.6798  0.0194  0.2571  1 Ga 1.90, 1 Pd 2.01
O  0.7429  0.4563  0.3202  1 Ga 1.90, 1 Pd 2.01
O  0.9806  0.3202  0.4563  1 Ga 1.90, 1 Pd 2.01

**Total magnetic moment**: 1.03 μB/f.u.
**Crystal system**: orthorhombic
**Formation energy from raw total energies**: -1123 meV per atom
**Space group**: Fddd

***

Q: What is the total magnetic moment in the first record?
A: 9.51 μB/f.u.